(1)
## Mg3InPt2 (PBE-GGA)

Data for an optimized crystal structure of Mg3InPt2.

relative energy among the computed polymorphs = 0 meV/atom
ΔH_f (0 K) = -570 meV per atom
symmetry = Cmmm, No. 65

Unit cell a=4.2946 b=3.8171 c=6.8413 alpha=90.00 beta=108.29 gamma=90.00
Positions (direct):
1 Mg 0.3213 0.0000 0.6426
2 Mg 0.6787 0.0000 0.3574
3 Mg 0.5000 0.5000 0.0000
4 In 0.0000 0.0000 0.0000
5 Pt 0.1626 0.5000 0.3252
6 Pt 0.8374 0.5000 0.6748

(2)
## CaCd2Pb (PBE-GGA)

Data for an optimized crystal structure of CaCd2Pb.

ΔH_f (0 K) = 176 meV per atom
symmetry = P-6m2, No. 187

Unit cell a=5.9641 b=5.3908 c=5.3908 alpha=60.00 beta=90.00 gamma=90.00
Positions (direct):
1 Ca 0.0000 0.0000 0.0000
2 Cd 0.5000 0.0000 0.0000
3 Cd 0.5000 0.3333 0.3333
4 Pb 0.5000 0.6667 0.6667

(3)
## CaTlRh2 (PBE-GGA)

Data for an optimized crystal structure of CaTlRh2.

ΔH_f (0 K) = -14 meV per atom
symmetry = P4mm, No. 99

Unit cell a=3.4465 b=3.4465 c=6.8777 alpha=90.00 beta=90.00 gamma=90.00
Each line ends with the local moment (μB).
Positions (direct):
1 Tl 0.0000 0.0000 0.4559  0.00
2 Rh 0.0000 0.0000 0.0484  0.04
3 Rh 0.5000 0.5000 0.2108  0.07
4 Ca 0.5000 0.5000 0.7849  0.00

(4)
## Cs4TlCd3F12 (PBE-GGA)

Data for an optimized crystal structure of Cs4TlCd3F12.

ΔE_f (raw) = -2.38 eV/atom
symmetry = Im-3m, No. 229

Unit cell a=8.0002 b=8.0002 c=8.0002 alpha=109.47 beta=109.47 gamma=109.47
Positions (direct):
1 Cs 0.5000 0.5000 0.5000
2 Cs 0.0000 0.0000 0.5000
3 Cs 0.5000 0.0000 0.0000
4 Cs 0.0000 0.5000 0.0000
5 Tl 0.0000 0.0000 0.0000
6 Cd 0.5000 0.0000 0.5000
7 Cd 0.5000 0.5000 0.0000
8 Cd 0.0000 0.5000 0.5000
9 F 0.2500 0.5000 0.7500
10 F 0.7416 0.0000 0.7416
11 F 0.2584 0.0000 0.2584
12 F 0.7500 0.5000 0.2500
13 F 0.7416 0.7416 0.0000
14 F 0.2584 0.2584 0.0000
15 F 0.7500 0.2500 0.5000
16 F 0.2500 0.7500 0.5000
17 F 0.5000 0.2500 0.7500
18 F 0.0000 0.7416 0.7416
19 F 0.5000 0.7500 0.2500
20 F 0.0000 0.2584 0.2584